# 1
{"formula": "CuWCl3", "functional": "SCAN", "state": "single point on PBEsol structure", "space_group": "No. 221", "dft_energy_ev_per_atom": -21.01, "total_magnetization_mub_per_cell": 4.543, "dos_at_fermi_per_ev_cell": 4.63, "formation_energy_uncorrected_ev_per_atom": 0.76, "lattice": [[-2.1952, -3.9027, -1.0948], [1.7876, 0.1852, -4.2448], [3.6378, -2.4461, 1.4253]], "species": ["Cu", "Cl", "Cl", "Cl", "W"], "frac_coords": [[0.0000, 0.0000, 0.0000], [0.0000, 0.5000, 0.0000], [0.0000, 0.0000, 0.5000], [0.5000, 0.0000, 0.0000], [0.5000, 0.5000, 0.5000]]}

***

# 2
{"formula": "Mg2AlAg", "functional": "SCAN", "state": "single point on PBEsol structure", "space_group": "No. 166", "dft_energy_ev_per_atom": -12.31, "total_magnetization_mub_per_cell": 0.000, "dos_at_fermi_per_ev_cell": 1.36, "lattice": [[3.0444, 0.0000, 0.0000], [1.5222, 2.6366, 0.0000], [1.5222, 0.8789, 9.2798]], "species": ["Ag", "Mg", "Mg", "Al"], "frac_coords": [[0.5000, 0.5000, 0.5000], [0.2478, 0.2478, 0.2567], [0.7522, 0.7522, 0.7433], [0.0000, 0.0000, 0.0000]]}

***

# 3
{"formula": "YInCuIr2", "functional": "SCAN", "state": "single point on PBEsol structure", "space_group": "No. 123", "dft_energy_ev_per_atom": -43.04, "total_magnetization_mub_per_cell": 0.000, "dos_at_fermi_per_ev_cell": 1.67, "lattice": [[-3.8018, 1.5199, -1.9268], [-2.2444, -4.1503, 1.1545], [-1.3795, 1.9256, 4.2408]], "species": ["In", "Y", "Ir", "Ir", "Cu"], "frac_coords": [[0.0000, 0.0000, 0.0000], [0.5000, 0.5000, 0.5000], [0.0000, 0.0000, 0.5000], [0.0000, 0.5000, 0.0000], [0.5000, 0.0000, 0.0000]]}

***

# 4
{"formula": "MnSe2Cl", "functional": "SCAN", "state": "single point on PBEsol structure", "space_group": "No. 123", "dft_energy_ev_per_atom": -16.89, "total_magnetization_mub_per_cell": 3.998, "dos_at_fermi_per_ev_cell": 0.97, "formation_energy_uncorrected_ev_per_atom": -0.29, "lattice": [[3.3563, 0.0388, 0.0000], [-0.0380, 3.3563, 0.0000], [0.0000, 0.0000, 6.6800]], "species": ["Cl", "Se", "Se", "Mn"], "frac_coords": [[0.5000, 0.5000, 0.5000], [0.0000, 0.0000, 0.1853], [0.0000, 0.0000, 0.8147], [0.5000, 0.5000, 0.0000]]}

***

# 5
{"formula": "CoAs2Br", "functional": "SCAN", "state": "single point on PBEsol structure", "space_group": "No. 8", "dft_energy_ev_per_atom": -19.28, "total_magnetization_mub_per_cell": 0.002, "dos_at_fermi_per_ev_cell": 0.89, "formation_energy_uncorrected_ev_per_atom": 0.01, "lattice": [[-0.5432, -3.1959, 0.5007], [3.9516, 1.2063, 1.2422], [-4.3985, 1.5147, 4.8968]], "species": ["As", "As", "Co", "Br"], "frac_coords": [[0.7763, 0.5526, 0.1511], [0.9355, 0.8710, 0.9193], [0.2036, 0.4072, 0.8584], [0.5846, 0.1691, 0.5711]]}

***

# 6
{"formula": "KSr3Rh", "functional": "SCAN", "state": "single point on PBEsol structure", "space_group": "No. 51", "dft_energy_ev_per_atom": -21.91, "total_magnetization_mub_per_cell": 0.300, "dos_at_fermi_per_ev_cell": 6.99, "lattice": [[6.6300, 0.0000, 0.0000], [0.0000, 7.4514, 0.0000], [0.0000, 0.0000, 8.8258]], "species": ["Rh", "Rh", "K", "K", "Sr", "Sr", "Sr", "Sr", "Sr", "Sr"], "frac_coords": [[0.0000, 0.0000, 0.0000], [0.5000, 0.0000, 0.0000], [0.7500, 0.6725, 0.5000], [0.2500, 0.3275, 0.5000], [0.2500, 0.8394, 0.2323], [0.2500, 0.8394, 0.7677], [0.7500, 0.1606, 0.7677], [0.7500, 0.1606, 0.2323], [0.7500, 0.6787, 0.0000], [0.2500, 0.3213, 0.0000]]}

***

# 7
{"formula": "MgC3", "functional": "SCAN", "state": "single point on PBEsol structure", "space_group": "No. 166", "dft_energy_ev_per_atom": -6.80, "total_magnetization_mub_per_cell": 0.000, "dos_at_fermi_per_ev_cell": 1.29, "lattice": [[2.6117, 0.0000, 0.0000], [1.3058, 2.2618, 0.0000], [1.3058, 0.7539, 5.3140]], "species": ["C", "C", "C", "Mg"], "frac_coords": [[0.5000, 0.5000, 0.5000], [0.2253, 0.2253, 0.3240], [0.7747, 0.7747, 0.6760], [0.0000, 0.0000, 0.0000]]}

***

# 8
{"formula": "Sr2YTlCu2O7", "functional": "SCAN", "state": "single point on PBEsol structure", "space_group": "No. 25", "dft_energy_ev_per_atom": -18.95, "total_magnetization_mub_per_cell": 0.000, "dos_at_fermi_per_ev_cell": 1.87, "formation_energy_uncorrected_ev_per_atom": -2.12, "lattice": [[3.7707, 0.0000, 0.0000], [0.0000, 3.7813, 0.0000], [0.0000, 0.0000, 11.9516]], "species": ["O", "O", "O", "O", "O", "O", "O", "Tl", "Sr", "Sr", "Cu", "Cu", "Y"], "frac_coords": [[0.0000, 0.0069, 0.8246], [0.5000, 0.9919, 0.6201], [0.5000, 0.5576, 0.0000], [0.0000, 0.4929, 0.6205], [0.5000, 0.9919, 0.3799], [0.0000, 0.0069, 0.1754], [0.0000, 0.4929, 0.3795], [0.0000, 0.9390, 0.0000], [0.5000, 0.4909, 0.7917], [0.5000, 0.4909, 0.2083], [0.0000, 0.9929, 0.6383], [0.0000, 0.9929, 0.3617], [0.5000, 0.4925, 0.5000]]}

***

# 9
{"formula": "LiGe2Ir2", "functional": "SCAN", "state": "single point on PBEsol structure", "space_group": "No. 139", "dft_energy_ev_per_atom": -37.01, "total_magnetization_mub_per_cell": 0.000, "dos_at_fermi_per_ev_cell": 2.18, "lattice": [[4.0852, 0.0000, 0.0000], [0.0000, 4.0852, 0.0000], [-2.0426, -2.0426, 5.0659]], "species": ["Ge", "Ge", "Ir", "Ir", "Li"], "frac_coords": [[0.6210, 0.6210, 0.2420], [0.3790, 0.3790, 0.7580], [0.7500, 0.2500, 0.5000], [0.2500, 0.7500, 0.5000], [0.0000, 0.0000, 0.0000]]}

***

# 10
{"formula": "ScCoPt3", "functional": "SCAN", "state": "single point on PBEsol structure", "space_group": "No. 221", "dft_energy_ev_per_atom": -48.31, "total_magnetization_mub_per_cell": 2.995, "dos_at_fermi_per_ev_cell": 3.02, "lattice": [[4.4990, 0.0000, 0.0000], [0.0000, 4.4990, 0.0000], [0.0000, 0.0000, 4.4990]], "species": ["Sc", "Pt", "Pt", "Pt", "Co"], "frac_coords": [[0.5000, 0.5000, 0.5000], [0.0000, 0.5000, 0.0000], [0.5000, 0.0000, 0.0000], [0.0000, 0.0000, 0.5000], [0.0000, 0.0000, 0.0000]]}

***

# 11
{"formula": "YMnSe2Br", "functional": "SCAN", "state": "single point on PBEsol structure", "space_group": "No. 123", "dft_energy_ev_per_atom": -22.02, "total_magnetization_mub_per_cell": 4.172, "dos_at_fermi_per_ev_cell": 1.72, "formation_energy_uncorrected_ev_per_atom": -0.88, "lattice": [[-3.8319, 1.1940, -2.5141], [-0.7627, -4.6939, -1.0667], [-2.7607, -0.4582, 3.9902]], "species": ["Br", "Se", "Se", "Y", "Mn"], "frac_coords": [[0.5000, 0.0000, 0.0000], [0.0000, 0.0000, 0.5000], [0.0000, 0.5000, 0.0000], [0.5000, 0.5000, 0.5000], [0.0000, 0.0000, 0.0000]]}

***

# 12
{"formula": "YBe2Tc", "functional": "SCAN", "state": "single point on PBEsol structure", "space_group": "No. 99", "dft_energy_ev_per_atom": -17.69, "total_magnetization_mub_per_cell": 0.000, "dos_at_fermi_per_ev_cell": 2.40, "lattice": [[-0.7414, 1.0302, -2.8370], [-3.0160, -0.1404, 0.7372], [0.2343, 5.9068, 2.0837]], "species": ["Be", "Be", "Tc", "Y"], "frac_coords": [[0.0000, 0.0000, 0.0789], [0.5000, 0.5000, 0.2642], [0.0000, 0.0000, 0.4245], [0.5000, 0.5000, 0.7324]]}

***

# 13
{"formula": "KBaTa2", "functional": "SCAN", "state": "single point on PBEsol structure", "space_group": "No. 225", "dft_energy_ev_per_atom": -42.86, "total_magnetization_mub_per_cell": 0.001, "dos_at_fermi_per_ev_cell": 5.43, "lattice": [[5.2436, 0.0000, 0.0000], [2.6218, 4.5411, 0.0000], [2.6218, 1.5137, 4.2814]], "species": ["Ta", "Ta", "Ba", "K"], "frac_coords": [[0.7500, 0.7500, 0.7500], [0.2500, 0.2500, 0.2500], [0.0000, 0.0000, 0.0000], [0.5000, 0.5000, 0.5000]]}

***

# 14
{"formula": "Mg2SbP2", "functional": "SCAN", "state": "single point on PBEsol structure", "space_group": "No. 127", "dft_energy_ev_per_atom": -13.80, "total_magnetization_mub_per_cell": 0.000, "dos_at_fermi_per_ev_cell": 2.48, "formation_energy_uncorrected_ev_per_atom": -0.20, "lattice": [[-2.4003, 0.1878, 2.5709], [-5.3617, -1.4899, -4.8972], [0.8264, -7.2508, 1.3011]], "species": ["P", "P", "P", "P", "Mg", "Mg", "Mg", "Mg", "Sb", "Sb"], "frac_coords": [[0.0000, 0.6638, 0.1638], [0.0000, 0.3362, 0.8362], [0.0000, 0.1638, 0.3362], [0.0000, 0.8362, 0.6638], [0.5000, 0.3586, 0.1414], [0.5000, 0.8586, 0.3586], [0.5000, 0.6414, 0.8586], [0.5000, 0.1414, 0.6414], [0.0000, 0.5000, 0.5000], [0.0000, 0.0000, 0.0000]]}

***

# 15
{"formula": "TaMnP2", "functional": "SCAN", "state": "single point on PBEsol structure", "space_group": "No. 47", "dft_energy_ev_per_atom": -26.67, "total_magnetization_mub_per_cell": 0.002, "dos_at_fermi_per_ev_cell": 2.43, "lattice": [[-0.4382, -2.1903, -2.0619], [1.2472, -2.4014, 2.2859], [-4.5843, -0.7227, 1.7419]], "species": ["Ta", "P", "P", "Mn"], "frac_coords": [[0.5000, 0.5000, 0.5000], [0.0000, 0.0000, 0.2552], [0.0000, 0.0000, 0.7448], [0.0000, 0.5000, 0.0000]]}

***

# 16
{"formula": "FeRe7", "functional": "SCAN", "state": "single point on PBEsol structure", "space_group": "No. 225", "dft_energy_ev_per_atom": -64.40, "total_magnetization_mub_per_cell": 1.559, "dos_at_fermi_per_ev_cell": 5.24, "lattice": [[-4.9866, 1.0384, 1.9008], [-4.3583, -1.9808, -2.5767], [-2.9261, -3.9789, 2.2724]], "species": ["Re", "Re", "Re", "Re", "Re", "Re", "Re", "Fe"], "frac_coords": [[0.0000, 0.5000, 0.5000], [0.5000, 0.5000, 0.5000], [0.5000, 0.0000, 0.5000], [0.0000, 0.5000, 0.0000], [0.0000, 0.0000, 0.5000], [0.5000, 0.0000, 0.0000], [0.5000, 0.5000, 0.0000], [0.0000, 0.0000, 0.0000]]}

***

# 17
{"formula": "YTa2Se", "functional": "SCAN", "state": "single point on PBEsol structure", "space_group": "No. 216", "dft_energy_ev_per_atom": -45.04, "total_magnetization_mub_per_cell": 0.001, "dos_at_fermi_per_ev_cell": 4.23, "formation_energy_uncorrected_ev_per_atom": 0.23, "lattice": [[4.7747, 0.0000, 0.0000], [2.3874, 4.1350, 0.0000], [2.3874, 1.3783, 3.8985]], "species": ["Ta", "Ta", "Y", "Se"], "frac_coords": [[0.7500, 0.7500, 0.7500], [0.0000, 0.0000, 0.0000], [0.2500, 0.2500, 0.2500], [0.5000, 0.5000, 0.5000]]}

***

# 18
{"formula": "KSb5", "functional": "SCAN", "state": "single point on PBEsol structure", "space_group": "No. 216", "dft_energy_ev_per_atom": -32.35, "total_magnetization_mub_per_cell": 0.000, "dos_at_fermi_per_ev_cell": 3.50, "formation_energy_uncorrected_ev_per_atom": 0.09, "lattice": [[-4.7503, 1.9527, -3.5890], [-3.4679, -4.1643, -3.1450], [-5.9124, -1.1124, 1.7509]], "species": ["Sb", "Sb", "Sb", "Sb", "Sb", "K"], "frac_coords": [[0.6227, 0.1318, 0.6227], [0.2500, 0.2500, 0.2500], [0.6227, 0.6227, 0.1318], [0.6227, 0.6227, 0.6227], [0.1318, 0.6227, 0.6227], [0.0000, 0.0000, 0.0000]]}

***

# 19
{"formula": "TaMo5", "functional": "SCAN", "state": "single point on PBEsol structure", "space_group": "No. 10", "dft_energy_ev_per_atom": -40.24, "total_magnetization_mub_per_cell": 0.000, "dos_at_fermi_per_ev_cell": 2.68, "lattice": [[2.7408, 0.0000, 0.0011], [0.0000, 4.4372, 0.0000], [-0.0063, 0.0000, 7.7051]], "species": ["Mo", "Mo", "Mo", "Mo", "Mo", "Ta"], "frac_coords": [[0.8364, 0.0000, 0.8293], [0.8382, 0.5000, 0.3369], [0.5000, 0.0000, 0.5000], [0.1636, 0.0000, 0.1707], [0.1618, 0.5000, 0.6631], [0.5000, 0.5000, 0.0000]]}

***

# 20
{"formula": "BeSi2Ir", "functional": "SCAN", "state": "single point on PBEsol structure", "space_group": "No. 99", "dft_energy_ev_per_atom": -23.96, "total_magnetization_mub_per_cell": 0.001, "dos_at_fermi_per_ev_cell": 1.65, "formation_energy_uncorrected_ev_per_atom": -0.09, "lattice": [[-0.4597, -0.7114, -3.0720], [2.8220, -1.4781, -0.0800], [-2.1380, -4.1512, 1.2812]], "species": ["Ir", "Be", "Si", "Si"], "frac_coords": [[0.5000, 0.5000, 0.7552], [0.0000, 0.0000, 0.4822], [0.0000, 0.0000, 0.9990], [0.5000, 0.5000, 0.2635]]}